! InPb, optimized geometry, DFT PBEsol; values from VASP
! E_tot in eV per cell: -6.96
! Formation energy from the elements in eV per atom: 0.011
! Symmetry: R-3m
&SYSTEM
  ibrav = 0, nat = 2, ntyp = 2
/
ATOMIC_SPECIES
Pb 207.20 Pb.upf
In 114.82 In.upf
ATOMIC_POSITIONS crystal
Pb 0.500 0.500 0.500
In 0.000 0.000 0.000
CELL_PARAMETERS angstrom
3.403 0.000 0.000
1.701 2.947 0.000
1.701 0.982 5.517



! InPb3, optimized geometry, DFT PBEsol; values from VASP
! E_tot in eV per cell: -14.85
! Formation energy from the elements in eV per atom: 0.033
! Symmetry: Immm
&SYSTEM
  ibrav = 0, nat = 4, ntyp = 2
/
ATOMIC_SPECIES
Pb 207.20 Pb.upf
In 114.82 In.upf
ATOMIC_POSITIONS crystal
Pb 0.741 0.741 0.483
Pb 0.500 0.000 0.000
Pb 0.259 0.259 0.517
In 0.000 0.500 0.000
CELL_PARAMETERS angstrom
-1.635 -2.655 -1.695
5.012 -1.959 -1.766
-1.302 -0.906 6.389